DFT (PBE-GGA) results for crystalline K2Ba2Hg at its relaxed geometry.

a = 4.3003 Å, b = 4.3003 Å, c = 15.0695 Å
α = 98.20°, β = 98.20°, γ = 90.00°
With the nearest neighbours (Å) after each atom.
Fractional positions:
K 0.8111 0.8111 0.6221  8 K 4.30-4.72, 4 Ba 4.73
K 0.1889 0.1889 0.3779  8 K 4.30-4.72, 4 Ba 4.73
Ba 0.5664 0.5664 0.1328  4 Hg 3.62, 1 Ba 3.92
Ba 0.4336 0.4336 0.8672  4 Hg 3.62, 1 Ba 3.92
Hg 0.0000 0.0000 0.0000  8 Ba 3.62

E_form, eV/f.u.: -1.058
Total moment, μB per cell: 0.0
ΔE to the lowest computed polymorph, eV/atom: 0.000
Symmetry: I4/mmm (139)
D(E_F), states/eV/atom: 0.615